! Sc2Al6Ge PBE-GGA optimized geometry; values from VASP
! Density of states at the Fermi level   4.18 states/eV/cell
! Energy of formation   -286 meV/atom
! Energy   -4.701 eV/atom
! Density   3.4 Mg/m³
! Space-group type   No. 12
! Size of the total moment   0.00 μB/f.u.
&SYSTEM
  ibrav = 0, nat = 9, ntyp = 3
/
ATOMIC_SPECIES
Sc 44.96 Sc.upf
Al 26.98 Al.upf
Ge 72.64 Ge.upf
ATOMIC_POSITIONS angstrom
Sc -0.016 0.000 1.839
Sc 11.147 0.000 4.117
Al 2.352 0.000 0.000
Al 2.209 0.000 3.865
Al 4.429 0.000 1.967
Al 6.703 0.000 3.990
Al 8.922 0.000 2.091
Al 8.780 0.000 5.956
Ge 6.761 0.000 0.000
CELL_PARAMETERS angstrom
6.761 -1.996 0.000
6.761 1.996 0.000
-2.391 0.000 5.956